Record 1
DFT (PBE) results for a relaxed structure of Nd2HgH.

Computed properties:
Electronic total energy in eV per atom: -3.627

a b c (Å): 3.771 3.771 7.772
angles (deg): 90.00 90.00 120.00
Element x y z (fractional)
Nd  0.333  0.667  0.183
Nd  0.667  0.333  0.817
Hg  0.000  0.000  0.500
H  0.000  0.000  0.000

Record 2
DFT (PBE) results for a relaxed structure of Nd2HgH2.

Computed properties:
Electronic total energy in eV per atom: -3.898

a b c (Å): 6.856 6.856 6.856
angles (deg): 146.71 146.71 47.79
Element x y z (fractional)
Nd  0.148  0.148  0.000
Nd  0.852  0.852  0.000
Hg  0.500  0.500  0.000
H  0.250  0.750  0.500
H  0.750  0.250  0.500

Record 3
DFT (PBE) results for a relaxed structure of Nd6Hg2H.

Computed properties:
Electronic total energy in eV per atom: -3.856

a b c (Å): 6.669 6.976 12.692
angles (deg): 90.00 118.61 90.00
Element x y z (fractional)
Nd  0.131  0.007  0.260
Nd  0.131  0.493  0.760
Nd  0.195  0.189  0.539
Nd  0.195  0.311  0.039
Nd  0.356  0.688  0.531
Nd  0.356  0.812  0.031
Nd  0.644  0.188  0.969
Nd  0.644  0.312  0.469
Nd  0.805  0.689  0.961
Nd  0.805  0.811  0.461
Nd  0.869  0.507  0.240
Nd  0.869  0.993  0.740
Hg  0.360  0.607  0.256
Hg  0.360  0.893  0.756
Hg  0.640  0.107  0.244
Hg  0.640  0.393  0.744
H  0.500  0.000  0.500
H  0.500  0.500  0.000

Record 4
DFT (PBE) results for a relaxed structure of NdHgH.

Computed properties:
Electronic total energy in eV per atom: -3.325

a b c (Å): 3.951 3.951 7.609
angles (deg): 90.00 90.00 90.00
Element x y z (fractional)
Nd  0.250  0.250  0.171
Nd  0.750  0.750  0.829
Hg  0.250  0.250  0.607
Hg  0.750  0.750  0.393
H  0.250  0.750  0.000
H  0.750  0.250  0.000

Record 5
DFT (PBE) results for a relaxed structure of Nd2HgHPd6.

Computed properties:
Electronic total energy in eV per atom: -4.985

a b c (Å): 5.697 5.697 7.212
angles (deg): 112.54 112.54 61.63
Element x y z (fractional)
Nd  0.248  0.248  0.305
Nd  0.752  0.752  0.695
Hg  0.000  0.000  0.500
H  0.500  0.500  0.000
Pd  0.181  0.690  0.143
Pd  0.296  0.296  0.780
Pd  0.310  0.819  0.857
Pd  0.690  0.181  0.143
Pd  0.704  0.704  0.220
Pd  0.819  0.310  0.857

Record 6
DFT (PBE) results for a relaxed structure of NdHgH4Pd6.

Computed properties:
Electronic total energy in eV per atom: -4.391

a b c (Å): 5.611 5.611 6.060
angles (deg): 90.00 90.00 120.00
Element x y z (fractional)
Nd  0.000  0.000  0.000
Hg  0.000  0.000  0.500
H  0.333  0.667  0.158
H  0.333  0.667  0.842
H  0.667  0.333  0.158
H  0.667  0.333  0.842
Pd  0.000  0.500  0.268
Pd  0.000  0.500  0.732
Pd  0.500  0.000  0.268
Pd  0.500  0.000  0.732
Pd  0.500  0.500  0.268
Pd  0.500  0.500  0.732

Record 7
DFT (PBE) results for a relaxed structure of Ni2HgH.

Computed properties:
Electronic total energy in eV per atom: -3.684

a b c (Å): 5.040 5.040 5.040
angles (deg): 116.47 116.47 96.22
Element x y z (fractional)
Ni  0.375  0.060  0.185
Ni  0.810  0.625  0.685
Ni  0.875  0.190  0.815
Ni  0.940  0.125  0.315
Hg  0.250  0.750  0.500
Hg  0.500  0.500  0.000
H  0.000  0.000  0.000
H  0.750  0.250  0.500

Record 8
DFT (PBE) results for a relaxed structure of NiHgH.

Computed properties:
Electronic total energy in eV per atom: -3.011

a b c (Å): 2.894 2.894 9.524
angles (deg): 100.29 100.29 73.87
Element x y z (fractional)
Ni  0.000  0.000  0.000
Ni  0.601  0.601  0.195
Hg  0.065  0.065  0.435
Hg  0.230  0.230  0.758
H  0.216  0.216  0.173
H  0.635  0.635  0.019

Q: Among the records above, which one has the highest electronic total energy?
A: NiHgH